Material: Co2AsO5
Method: DFT, PBE+U
State: optimized geometry

POSCAR file:
```
Co2AsO5
1.0
5.839 0.000 0.000
0.000 8.569 0.000
0.000 0.000 8.489
Co O As
8 20 4
Cartesian
1.400 0.000 0.000
1.520 4.285 4.245
2.920 5.313 7.176
2.920 3.256 1.313
0.000 7.541 2.932
0.000 1.028 5.557
4.319 4.285 4.245
4.440 0.000 0.000
1.385 2.015 1.227
0.000 0.897 3.427
0.000 3.657 3.120
1.385 6.554 7.263
2.920 0.628 7.364
2.920 3.707 3.215
1.535 2.269 5.471
2.920 3.387 7.672
1.535 6.300 3.018
2.920 7.941 1.125
2.920 4.862 5.274
0.000 0.578 7.460
0.000 7.672 5.062
4.305 6.300 3.018
4.454 6.554 7.263
2.920 5.182 0.818
0.000 7.992 1.029
4.305 2.269 5.471
0.000 4.913 5.369
4.454 2.015 1.227
2.920 6.416 2.011
0.000 6.438 6.255
0.000 2.132 2.234
2.920 2.153 6.478
```

## Properties
Space-group type: Pnnm (58)
Total DFT energy (no corrections), eV for the cell shown: -192.73